(1)
# Mg3TiS PBE-GGA optimized geometry
data_Mg3TiS
_chemical_formula_sum 'Mg3 Ti1 S1'
_cell_length_a 5.420
_cell_length_b 5.420
_cell_length_c 5.420
_cell_angle_alpha 90.00
_cell_angle_beta 90.00
_cell_angle_gamma 90.00
_space_group_name_H-M_alt 'P m -3 m'
_space_group_IT_number 221
_space_group_name_Hall '-P 4 2 3'
loop_
_atom_site_label
_atom_site_fract_x
_atom_site_fract_y
_atom_site_fract_z
Mg1 0.000 0.000 0.500
Ti1 0.000 0.000 0.000
S1 0.500 0.500 0.500
# - Excess energy over the best structure of this formula in the dataset: 0.920 eV per atom
# - Magnetic moment: 0.386 μB/atom
# - ΔE_f (raw): 1.099 eV/atom
# - Crystal system: cubic

=====

(2)
# Mg3TiS PBE-GGA optimized geometry
data_Mg3TiS
_chemical_formula_sum 'Mg3 Ti1 S1'
_cell_length_a 4.867
_cell_length_b 4.867
_cell_length_c 4.867
_cell_angle_alpha 90.00
_cell_angle_beta 90.00
_cell_angle_gamma 90.00
_space_group_name_H-M_alt 'P m -3 m'
_space_group_IT_number 221
_space_group_name_Hall '-P 4 2 3'
loop_
_atom_site_label
_atom_site_fract_x
_atom_site_fract_y
_atom_site_fract_z
Mg1 0.000 0.000 0.500
Ti1 0.500 0.500 0.500
S1 0.000 0.000 0.000
# - Excess energy over the best structure of this formula in the dataset: 0.000 eV per atom
# - Magnetic moment: 0.495 μB/atom
# - ΔE_f (raw): 0.179 eV/atom
# - Crystal system: cubic

=====

(3)
# MgTiTl2S4 PBE-GGA optimized geometry
data_MgTiTl2S4
_chemical_formula_sum 'Mg2 Ti2 Tl4 S8'
_cell_length_a 9.805
_cell_length_b 9.495
_cell_length_c 6.939
_cell_angle_alpha 90.00
_cell_angle_beta 134.92
_cell_angle_gamma 90.00
_space_group_name_H-M_alt 'C 1 2 1'
_space_group_IT_number 5
loop_
_space_group_symop_operation_xyz
'x,y,z'
'-x,y,-z'
'x+1/2,y+1/2,z'
'-x+1/2,y+1/2,-z'
loop_
_atom_site_label
_atom_site_fract_x
_atom_site_fract_y
_atom_site_fract_z
Mg1 0.000 0.000 0.000
Ti1 0.000 0.250 0.500
Tl1 0.000 0.501 0.000
Tl2 0.000 0.751 0.500
S1 0.156 0.125 0.423
S2 0.233 0.375 0.889
# - Magnetic moment: 0.000 μB/atom
# - ΔE_f (raw): -0.926 eV/atom
# - Crystal system: monoclinic

=====

(4)
# Mg2TiTl3S6 PBE-GGA optimized geometry
data_Mg2TiTl3S6
_chemical_formula_sum 'Mg4 Ti2 Tl6 S12'
_cell_length_a 6.569
_cell_length_b 11.418
_cell_length_c 7.429
_cell_angle_alpha 90.00
_cell_angle_beta 107.52
_cell_angle_gamma 90.00
_space_group_name_H-M_alt 'C 1 2/m 1'
_space_group_IT_number 12
loop_
_space_group_symop_operation_xyz
'x,y,z'
'-x,-y,-z'
'-x,y,-z'
'x,-y,z'
'x+1/2,y+1/2,z'
'-x+1/2,-y+1/2,-z'
'-x+1/2,y+1/2,-z'
'x+1/2,-y+1/2,z'
loop_
_atom_site_label
_atom_site_fract_x
_atom_site_fract_y
_atom_site_fract_z
Mg1 0.000 0.165 0.000
Ti1 0.000 0.500 0.000
Tl1 0.000 0.000 0.500
Tl2 0.000 0.331 0.500
S1 0.222 0.343 0.189
S2 0.249 0.500 0.805
# - Magnetic moment: 0.000 μB/atom
# - ΔE_f (raw): -0.874 eV/atom
# - Crystal system: monoclinic

=====

(5)
# MgTiWS4 PBE-GGA optimized geometry
data_MgTiWS4
_chemical_formula_sum 'Mg4 Ti4 W4 S16'
_cell_length_a 7.034
_cell_length_b 7.397
_cell_length_c 10.306
_cell_angle_alpha 90.00
_cell_angle_beta 90.00
_cell_angle_gamma 90.00
_space_group_name_H-M_alt 'I m m 2'
_space_group_IT_number 44
loop_
_space_group_symop_operation_xyz
'x,y,z'
'-x,-y,z'
'-x,y,z'
'x,-y,z'
'x+1/2,y+1/2,z+1/2'
'-x+1/2,-y+1/2,z+1/2'
'-x+1/2,y+1/2,z+1/2'
'x+1/2,-y+1/2,z+1/2'
loop_
_atom_site_label
_atom_site_fract_x
_atom_site_fract_y
_atom_site_fract_z
Mg1 0.000 0.000 0.000
Mg2 0.000 0.500 0.241
Ti1 0.000 0.250 0.623
W1 0.197 0.500 0.832
S1 0.000 0.210 0.358
S2 0.000 0.239 0.850
S3 0.212 0.500 0.601
S4 0.241 0.000 0.580
# - Magnetic moment: 0.000 μB/atom
# - ΔE_f (raw): -0.988 eV/atom
# - Crystal system: orthorhombic

=====

(6)
# Mg2Ti3WS8 PBE-GGA optimized geometry
data_Mg2Ti3WS8
_chemical_formula_sum 'Mg6 Ti9 W3 S24'
_cell_length_a 7.3358
_cell_length_b 7.3358
_cell_length_c 17.6768
_cell_angle_alpha 90.00
_cell_angle_beta 90.00
_cell_angle_gamma 120.00
_space_group_name_H-M_alt 'R -3 m'
_space_group_IT_number 166
_space_group_name_Hall '-R 3 2"'
loop_
_atom_site_label
_atom_site_fract_x
_atom_site_fract_y
_atom_site_fract_z
Mg1 0.0000 0.0000 0.1251
Ti1 0.0000 0.5000 0.0000
W1 0.0000 0.0000 0.5000
S1 0.0000 0.0000 0.2596
S2 0.0246 0.5123 0.2524
# - Magnetic moment: 0.225 μB/atom
# - ΔE_f (raw): -1.102 eV/atom
# - Crystal system: trigonal

=====

Question: Look up the magnetic moment of the fifth one.
Answer: 0.000 μB/atom